VASP calculation (GGA-PBE) on an optimized crystal structure of La5PrTm3.

Lattice parameters (Å, degrees): 10.0443 10.0443 7.1324 90.02 90.02 59.92
Last column: nearest neighbours and their distance in Å.
Sites, in units of the cell vectors:
La  0.1364  0.4979  0.2488  4 La 3.36-3.63, 1 Pr 3.40, 4 Tm 3.67-3.68
La  0.1373  0.8627  0.7500  2 La 3.35, 3 Pr 3.38-3.62, 4 Tm 3.65
La  0.1979  0.5030  0.7499  5 La 3.35-3.63, 2 Tm 3.51
La  0.4970  0.8021  0.7501  5 La 3.35-3.63, 2 Tm 3.51
La  0.4979  0.1364  0.7488  4 La 3.36-3.63, 1 Pr 3.40, 4 Tm 3.67-3.68
La  0.5021  0.8636  0.2512  4 La 3.36-3.63, 1 Pr 3.40, 4 Tm 3.67-3.68
La  0.5030  0.1979  0.2499  5 La 3.35-3.63, 2 Tm 3.51
La  0.8021  0.4970  0.2501  5 La 3.35-3.63, 2 Tm 3.51
La  0.8627  0.1373  0.2500  2 La 3.35, 3 Pr 3.38-3.62, 4 Tm 3.65
La  0.8636  0.5021  0.7512  4 La 3.36-3.63, 1 Pr 3.40, 4 Tm 3.67-3.68
Pr  0.1998  0.8002  0.2500  5 La 3.38-3.62, 2 Tm 3.50
Pr  0.8002  0.1998  0.7500  5 La 3.38-3.62, 2 Tm 3.50
Tm  0.1644  0.1656  0.5000  2 Tm 3.57, 9 La 3.65-3.99, 2 Pr 3.93
Tm  0.1656  0.1644  0.0000  2 Tm 3.57, 9 La 3.65-3.99, 2 Pr 3.93
Tm  0.5000  0.5000  0.0000  2 Pr 3.50, 4 La 3.51, 2 Tm 3.57
Tm  0.5000  0.5000  0.5000  2 Pr 3.50, 4 La 3.51, 2 Tm 3.57
Tm  0.8344  0.8356  0.0000  2 Tm 3.57, 9 La 3.65-3.99, 2 Pr 3.93
Tm  0.8356  0.8344  0.5000  2 Tm 3.57, 9 La 3.65-3.99, 2 Pr 3.93

Computed properties:
Symmetry: C2/c (15)
V (A^3/atom): 34.6
Energy (eV per cell): -84.8
Formation energy from the elements (eV/atom): 0.047